No. 1
Here is Na3Sr2USe6 after structural relaxation from Alexandria. Energies are from PBE.

Results
Uncorrected formation energy: -1.4829 eV/atom
Size of the total moment: 0.083 μB per atom
E: -4.776 eV/atom

a b c (Å): 7.5299 13.0458 7.3880
angles (deg): 90.00 110.13 90.00
Space group C2/m (No. 12)
One atom of each set of equivalent atoms:
Na (0.0000, 0.0000, 0.0000) [2 per cell]
Na (0.0000, 0.3336, 0.0000) [4 per cell]
Sr (0.0000, 0.1671, 0.5000) [4 per cell]
U (0.0000, 0.5000, 0.5000) [2 per cell]
Se (0.2239, 0.5000, 0.2702) [4 per cell]
Se (0.2303, 0.3487, 0.7368) [8 per cell]

---

No. 2
Here is TaMo3W8 after structural relaxation from Alexandria. Energies are from PBE.

Results
Size of the total moment: 0.000 μB per atom
Energy of formation from the pure elements: -0.04 eV/atom
E: -12.369 eV/atom

a b c (Å): 4.5090 5.2934 9.4282
angles (deg): 75.28 76.22 64.82
Space group P-1 (No. 2)
One atom of each set of equivalent atoms:
Ta (0.0000, 0.0000, 0.0000) [1 per cell]
Mo (0.4163, 0.9165, 0.2509) [2 per cell]
Mo (0.5000, 0.5000, 0.5000) [1 per cell]
W (0.0830, 0.5820, 0.2522) [2 per cell]
W (0.1668, 0.1674, 0.4992) [2 per cell]
W (0.2513, 0.7498, 0.7476) [2 per cell]
W (0.3316, 0.3371, 0.9998) [2 per cell]

---

No. 3
Here is Ho2Sc2Ga4Pt after structural relaxation from Alexandria. Energies are from PBE.

Results
Size of the total moment: 0.000 μB per atom
Energy of formation from the pure elements: -0.53 eV/atom
E: -4.969 eV/atom

a b c (Å): 6.3886 6.3886 9.2027
angles (deg): 90.00 90.00 90.00
Space group I4/mmm (No. 139)
One atom of each set of equivalent atoms:
Ho (0.0000, 0.5000, 0.2500) [4 per cell]
Sc (0.0000, 0.0000, 0.2212) [4 per cell]
Ga (0.2199, 0.2199, 0.0000) [8 per cell]
Pt (0.0000, 0.0000, 0.5000) [2 per cell]